Material: Ca2Ni4Ge3P
Method: DFT, PBE
State: optimized geometry

Summary:
Symmetry ... P-4m2, No. 115
Formation energy ... -566.6 meV per atom

abc: 4.096 4.096 9.657
angles: 90.00 90.00 90.00
Element x y z (fractional)
Ca1 0.500 0.000 0.254
Ca2 0.000 0.500 0.746
Ni1 0.500 0.500 0.000
Ni2 0.000 0.000 0.000
Ni3 0.500 0.000 0.620
Ni4 0.000 0.500 0.380
Ge1 0.000 0.000 0.500
Ge2 0.500 0.000 0.872
Ge3 0.000 0.500 0.128
P1 0.500 0.500 0.500